Entry 1:
Material: Li2RuPb
Method: DFT, GGA-PBE
State: optimized geometry

a = 10.1696 Å, b = 10.1696 Å, c = 10.1696 Å
α = 158.00°, β = 158.00°, γ = 31.31°
Element x y z (fractional)
Li 0.0934 0.6250 0.9684
Li 0.3750 0.3434 0.4684
Li 0.6566 0.1250 0.0316
Li 0.8750 0.9066 0.5316
Ru 0.0000 0.0000 0.0000
Ru 0.7500 0.2500 0.5000
Pb 0.2500 0.7500 0.5000
Pb 0.5000 0.5000 0.0000

Entry 2:
Material: LiRuPb4
Method: DFT, GGA-PBE
State: optimized geometry

a = 6.2882 Å, b = 6.2882 Å, c = 6.2882 Å
α = 60.00°, β = 60.00°, γ = 60.00°
Element x y z (fractional)
Li 0.0000 0.0000 0.0000
Ru 0.2500 0.2500 0.2500
Pb 0.1264 0.6245 0.6245
Pb 0.6245 0.1264 0.6245
Pb 0.6245 0.6245 0.1264
Pb 0.6245 0.6245 0.6245

Entry 3:
Material: LiRu2Pb
Method: DFT, GGA-PBE
State: optimized geometry

a = 4.4924 Å, b = 4.4924 Å, c = 4.4924 Å
α = 120.15°, β = 120.15°, γ = 89.75°
Element x y z (fractional)
Li 0.0000 0.0000 0.0000
Ru 0.5000 0.5000 0.0000
Ru 0.7500 0.2500 0.5000
Pb 0.2500 0.7500 0.5000

Entry 4:
Material: Li2RuPb2
Method: DFT, GGA-PBE
State: optimized geometry

a = 7.3301 Å, b = 7.3301 Å, c = 3.6211 Å
α = 90.00°, β = 90.00°, γ = 90.00°
Element x y z (fractional)
Li 0.1500 0.3500 0.0000
Li 0.3500 0.8500 0.0000
Li 0.6500 0.1500 0.0000
Li 0.8500 0.6500 0.0000
Ru 0.0000 0.0000 0.5000
Ru 0.5000 0.5000 0.5000
Pb 0.1571 0.6571 0.5000
Pb 0.3429 0.1571 0.5000
Pb 0.6571 0.8429 0.5000
Pb 0.8429 0.3429 0.5000

Entry 5:
Material: LiRu3Pb
Method: DFT, GGA-PBE
State: optimized geometry

a = 4.2644 Å, b = 4.2644 Å, c = 4.2644 Å
α = 90.00°, β = 90.00°, γ = 90.00°
Element x y z (fractional)
Li 0.0000 0.0000 0.0000
Ru 0.0000 0.0000 0.5000
Ru 0.0000 0.5000 0.0000
Ru 0.5000 0.0000 0.0000
Pb 0.5000 0.5000 0.5000

Output
Energy above the most stable polymorph in this dataset (meV per atom): 0

Entry 6:
Material: LiRu2Pb
Method: DFT, GGA-PBE
State: optimized geometry

a = 8.5411 Å, b = 8.5411 Å, c = 8.5411 Å
α = 20.66°, β = 20.66°, γ = 20.66°
Element x y z (fractional)
Li 0.0000 0.0000 0.0000
Ru 0.2517 0.2517 0.2517
Ru 0.7483 0.7483 0.7483
Pb 0.5000 0.5000 0.5000

Entry 7:
Material: Li2RuPb
Method: DFT, GGA-PBE
State: optimized geometry

a = 9.4849 Å, b = 9.4849 Å, c = 9.4849 Å
α = 18.39°, β = 18.39°, γ = 18.39°
Element x y z (fractional)
Li 0.2392 0.2392 0.2392
Li 0.7608 0.7608 0.7608
Ru 0.5000 0.5000 0.5000
Pb 0.0000 0.0000 0.0000

Entry 8:
Material: Li2RuPb
Method: DFT, GGA-PBE
State: optimized geometry

a = 3.1141 Å, b = 4.7280 Å, c = 4.7096 Å
α = 90.00°, β = 94.15°, γ = 90.00°
Element x y z (fractional)
Li 0.2403 0.0000 0.2832
Li 0.7597 0.0000 0.7168
Ru 0.0000 0.5000 0.5000
Pb 0.5000 0.5000 0.0000

| no. | formation energy from the elements (eV/atom) | DFT total energy (eV per atom) |
| --- | --- | --- |
| 1 | 0.273 | -3.93 |
| 2 | 0.708 | -3.63 |
| 3 | 0.268 | -5.78 |
| 4 | 0.143 | -3.96 |
| 5 | 1.012 | -5.68 |
| 6 | 0.694 | -5.35 |
| 7 | 0.320 | -3.88 |
| 8 | 0.134 | -4.07 |